The following is a PBE+U calculation of Rb2ZnMoO4 after structural relaxation, from Alexandria via LeMat-Bulk.

abc: 5.571 7.187 10.606
angles: 84.16 74.77 67.20
Atoms (fractional coordinates):
Rb  0.180  0.000  0.640
Rb  0.820  0.000  0.360
Rb  0.570  0.500  0.860
Rb  0.930  0.500  0.140
Zn  0.250  0.500  0.500
Zn  0.500  0.000  0.000
Mo  0.750  0.500  0.500
Mo  0.000  0.000  0.000
O  0.303  0.808  0.057
O  0.168  0.192  0.943
O  0.889  0.808  0.943
O  0.640  0.192  0.057
O  0.447  0.692  0.443
O  0.582  0.308  0.557
O  0.861  0.692  0.557
O  0.110  0.308  0.443

Values from the calculation:
ρ (Mg/m³): 3.5
SG: Fddd, No. 70
Total energy (eV/cell): -81.7
Crystal system: orthorhombic
Magnetic moment (μB per formula unit): 0.1



The following is a PBE+U calculation of RbZrMoO6 after structural relaxation, from Alexandria via LeMat-Bulk.

abc: 5.653 5.576 6.037
angles: 89.49 89.75 60.45
Last column: magnetic moment on the atom in μB.
Atoms (fractional coordinates):
Rb  0.003  0.998  0.000  0.01
Zr  0.640  0.680  0.500  -0.02
Mo  0.363  0.319  0.500  -0.07
O  0.019  0.396  0.343  0.43
O  0.403  0.018  0.692  0.03
O  0.575  0.397  0.695  0.03
O  0.019  0.585  0.657  0.43
O  0.403  0.579  0.308  0.03
O  0.575  0.028  0.305  0.03

Values from the calculation:
ρ (Mg/m³): 3.7
SG: C2, No. 5
Total energy (eV/cell): -64.5
Crystal system: monoclinic
Magnetic moment (μB per formula unit): 1.1



The following is a PBE+U calculation of Rb8ZrMo6O24 after structural relaxation, from Alexandria via LeMat-Bulk.

abc: 10.988 10.988 8.121
angles: 81.75 81.75 124.38
Atoms (fractional coordinates):
Rb  0.214  0.214  0.350
Rb  0.786  0.786  0.650
Rb  0.662  0.338  0.500
Rb  0.338  0.662  0.500
Rb  0.869  0.519  0.886
Rb  0.519  0.869  0.886
Rb  0.131  0.481  0.114
Rb  0.481  0.131  0.114
Zr  0.000  0.000  0.000
Mo  0.952  0.262  0.707
Mo  0.262  0.952  0.707
Mo  0.048  0.738  0.293
Mo  0.738  0.048  0.293
Mo  0.385  0.385  0.798
Mo  0.615  0.615  0.202
O  0.939  0.090  0.808
O  0.090  0.939  0.808
O  0.061  0.910  0.192
O  0.910  0.061  0.192
O  0.769  0.224  0.755
O  0.224  0.769  0.755
O  0.231  0.776  0.245
O  0.776  0.231  0.245
O  0.067  0.414  0.797
O  0.414  0.067  0.797
O  0.933  0.586  0.203
O  0.586  0.933  0.203
O  0.039  0.326  0.479
O  0.326  0.039  0.479
O  0.961  0.674  0.521
O  0.674  0.961  0.521
O  0.411  0.559  0.811
O  0.559  0.411  0.811
O  0.589  0.441  0.189
O  0.441  0.589  0.189
O  0.215  0.215  0.972
O  0.785  0.785  0.028
O  0.351  0.351  0.598
O  0.649  0.649  0.402

Values from the calculation:
ρ (Mg/m³): 3.7
SG: C2/m, No. 12
Total energy (eV/cell): -254.1
Crystal system: monoclinic
Magnetic moment (μB per formula unit): 0.2



The following is a PBE+U calculation of RbZr2MoO8 after structural relaxation, from Alexandria via LeMat-Bulk.

abc: 4.947 4.933 7.093
angles: 90.01 90.02 88.16
Last column: magnetic moment on the atom in μB.
Atoms (fractional coordinates):
Rb  0.000  0.000  0.500  0.04
Zr  0.500  0.500  0.766  -0.02
Zr  0.500  0.500  0.234  -0.02
Mo  0.000  0.000  0.000  -0.01
O  0.199  0.799  0.187  0.00
O  0.707  0.709  0.000  0.01
O  0.801  0.202  0.187  0.00
O  0.801  0.201  0.813  0.00
O  0.293  0.291  0.000  0.01
O  0.199  0.798  0.813  0.00
O  0.642  0.649  0.500  0.43
O  0.358  0.351  0.500  0.43

Values from the calculation:
ρ (Mg/m³): 4.7
SG: P2/m, No. 10
Total energy (eV/cell): -90.9
Crystal system: monoclinic
Magnetic moment (μB per formula unit): 1.0



The following is a PBE+U calculation of Rb2ZrMoO6 after structural relaxation, from Alexandria via LeMat-Bulk.

abc: 4.365 5.792 5.792
angles: 90.00 90.00 90.00
Atoms (fractional coordinates):
Rb  0.129  0.500  0.000
Rb  0.129  0.000  0.500
Zr  0.626  0.500  0.500
Mo  0.591  0.000  0.000
O  0.654  0.234  0.234
O  0.654  0.234  0.766
O  0.170  0.500  0.500
O  0.183  0.000  0.000
O  0.654  0.766  0.766
O  0.654  0.766  0.234

Values from the calculation:
ρ (Mg/m³): 5.1
SG: P4mm, No. 99
Total energy (eV/cell): -69.1
Crystal system: tetragonal
Magnetic moment (μB per formula unit): 0.0



The following is a PBE+U calculation of ReMo2O after structural relaxation, from Alexandria via LeMat-Bulk.

abc: 5.376 5.376 6.215
angles: 64.37 64.37 90.00
Last column: magnetic moment on the atom in μB.
Atoms (fractional coordinates):
Re  0.000  0.000  0.000  -0.91
Re  0.750  0.250  0.500  -0.92
Mo  0.552  0.125  0.250  1.48
Mo  0.198  0.625  0.250  1.48
Mo  0.375  0.448  0.750  1.54
Mo  0.875  0.802  0.750  1.50
O  0.500  0.500  0.000  -0.04
O  0.250  0.750  0.500  -0.04

Values from the calculation:
ρ (Mg/m³): 9.2
SG: I-42d, No. 122
Total energy (eV/cell): -57.6
Crystal system: tetragonal
Magnetic moment (μB per formula unit): 2.0



What is the formula in the third record?
Rb8ZrMo6O24



What is the magnetic moment in the third record?
0.2 μB per formula unit



Which value of total energy does entry 4 give?
-90.9 eV/cell